(1)
Entry from Alexandria via LeMat-Bulk: crystalline Rb2BrF7 at its relaxed geometry (PBE-GGA).

Results
As for the energy above the lowest structure with this stoichiometry: 0.000 eV per formula unit. The energy relative to the elements, uncorrected comes out at -1.71 eV/atom. Its size of the total moment is 0.00 μB per formula unit.

a = 14.5919 Å, b = 6.6513 Å, c = 10.2383 Å
α = 90.00°, β = 132.89°, γ = 90.00°
Last column: nearest neighbours and their distance in Å.
Space group C2/c (No. 15)
Symmetry-distinct sites (fractional):
Rb 0.1544 0.1616 0.2407  6 F 2.81-2.99
Br 0.0000 0.3028 0.7500  7 F 1.91-2.08
F 0.0000 0.4013 0.2500  1 Br 1.97
F 0.0760 0.0473 0.9104  1 Br 2.08
F 0.1007 0.3100 0.6938  1 Br 1.91
F 0.1492 0.3883 0.9947  1 Br 1.98

---

(2)
Entry from Alexandria via LeMat-Bulk: crystalline TbZrTl2S4 at its relaxed geometry (PBE-GGA).

Results
The energy relative to the elements, uncorrected comes out at -1.27 eV/atom. Its size of the total moment is 0.00 μB per formula unit.

a = 6.7000 Å, b = 3.8033 Å, c = 8.2587 Å
α = 90.00°, β = 103.44°, γ = 90.00°
Last column: nearest neighbours and their distance in Å.
Space group P2/m (No. 10)
Symmetry-distinct sites (fractional):
Tb 0.0000 0.0000 0.0000  6 S 2.74-2.75
Zr 0.5000 0.5000 0.0000  6 S 2.60-2.62
Tl 0.0000 0.5000 0.5000  6 S 3.32-3.45
Tl 0.5000 0.0000 0.5000  6 S 3.23-3.33
S 0.2402 0.5000 0.1906  1 Zr 2.60, 2 Tb 2.74
S 0.2927 0.0000 0.8156  2 Zr 2.62, 1 Tb 2.75

---

(3)
Entry from Alexandria via LeMat-Bulk: crystalline YAs2CSe at its relaxed geometry (PBE-GGA).

Results
As for the energy above the lowest structure with this stoichiometry: 0.000 eV per formula unit. The energy relative to the elements, uncorrected comes out at 0.30 eV/atom. Its size of the total moment is 0.00 μB per formula unit.

a = 4.4199 Å, b = 4.4199 Å, c = 4.6870 Å
α = 90.00°, β = 90.00°, γ = 90.00°
Last column: nearest neighbours and their distance in Å.
Space group P4/mmm (No. 123)
Symmetry-distinct sites (fractional):
Y 0.0000 0.0000 0.0000  4 Se 3.13, 8 As 3.22
As 0.0000 0.5000 0.5000  2 C 2.21
C 0.5000 0.5000 0.5000  4 As 2.21, 2 Se 2.34
Se 0.5000 0.5000 0.0000  2 C 2.34